Entry from Alexandria: Ag2MoP after structural relaxation (GGA-PBEsol).

Results
E = -5.744 eV per atom

a b c (Å): 2.949 4.233 4.932
angles (deg): 90.00 90.00 90.00
Positions (direct):
Ag1 0.000 0.000 0.000
Ag2 0.500 0.500 0.000
Mo1 0.000 0.500 0.500
P1 0.500 0.000 0.500


Entry from Alexandria: Ag2MoPb after structural relaxation (GGA-PBEsol).

Results
E = -5.093 eV per atom

a b c (Å): 5.447 5.447 5.311
angles (deg): 114.74 114.74 30.91
Positions (direct):
Ag1 0.000 0.000 0.000
Ag2 0.748 0.748 0.073
Mo1 0.484 0.484 0.497
Pb1 0.236 0.236 0.569